[1]
Entry from the Alexandria database: an optimized crystal structure of Tb6Er12Mg (PBE).

Properties
E_form = 137 meV/atom
energy relative to the lowest polymorph listed for this composition = 0.000 eV per atom
total magnetization = 0.00 μB/atom

Geometry as extended XYZ:
```
19
Lattice="5.8791 3.3943 4.9709 -5.8791 3.3943 4.9709 0.0000 -6.7886 4.9709" Properties=species:S:1:pos:R:3 pbc="T T T"
Tb -2.3115 -2.4632 7.7477
Tb -3.2889 0.7702 7.1650
Tb 0.9774 -3.2334 7.1650
Tb -0.9774 3.2334 7.7477
Tb 3.2889 -0.7702 7.7477
Tb 2.3115 2.4632 7.1650
Er -1.4102 -5.2759 6.2303
Er -5.2742 -1.4167 8.6824
Er -1.0341 -1.7737 4.6569
Er -3.8640 3.8593 6.2303
Er -1.0190 1.7824 4.6569
Er 2.0531 -0.0087 4.6569
Er -2.0531 0.0087 10.2558
Er 1.0190 -1.7824 10.2558
Er 3.8640 -3.8593 8.6824
Er 1.0341 1.7737 10.2558
Er 5.2742 1.4167 6.2303
Er 1.4102 5.2759 8.6824
Mg 0.0000 0.0000 7.4564
```

[2]
Entry from the Alexandria database: an optimized crystal structure of Tb5Zn (PBE).

Properties
E_form = 115 meV/atom
energy relative to the lowest polymorph listed for this composition = 0.119 eV per atom
total magnetization = 0.00 μB/atom

Geometry as extended XYZ:
```
12
Lattice="-3.8021 3.8021 6.2638 3.8021 -3.8021 6.2638 3.8021 3.8021 -6.2638" Properties=species:S:1:pos:R:3 pbc="T T T"
Tb 0.0000 0.0000 0.0000
Tb 5.0049 1.2028 -1.7948
Tb 1.2028 2.5993 -1.7948
Tb 5.0049 1.2028 1.7948
Tb 1.2028 2.5993 1.7948
Tb 0.0000 0.0000 6.2638
Tb 2.5993 1.2028 4.4690
Tb -1.2028 2.5993 4.4690
Tb 2.5993 1.2028 8.0586
Tb -1.2028 2.5993 8.0586
Zn 0.0000 0.0000 3.1319
Zn 0.0000 0.0000 9.3957
```

[3]
Entry from the Alexandria database: an optimized crystal structure of USnRu (PBE).

Properties
E_form = -48 meV/atom
total magnetization = 0.72 μB/atom

Geometry as extended XYZ:
```
3
Lattice="0.0000 3.2668 3.2668 3.2668 0.0000 3.2668 3.2668 3.2668 0.0000" Properties=species:S:1:pos:R:3 pbc="T T T"
U 0.0000 0.0000 0.0000
Sn 3.2668 3.2668 3.2668
Ru 4.9001 4.9001 4.9001
```

E readings, ordered: -81.52; -47.47; -24.71 eV/cell